Record 1
Material: Sr2Li2Pd
Method: DFT, PBE
State: optimized geometry

Cell lengths 4.9371, 5.3121, 10.6428 Å; angles 90.00, 90.00, 90.00 degrees
Last column: nearest neighbours and their distance in Å.
Space group Immm (No. 71)
Unique sites:
1 Sr 0.0000 0.0000 0.1822 [4 per cell]  2 Pd 3.29, 6 Li 3.45-3.60
2 Li 0.0000 0.2323 0.5000 [4 per cell]  1 Li 2.47, 2 Pd 2.76
3 Pd 0.0000 0.5000 0.0000 [2 per cell]  4 Li 2.76

Values from the calculation:
* energy relative to the lowest polymorph listed for this composition: 0 meV/atom


Record 2
Material: Sr4LiPd2
Method: DFT, PBE
State: optimized geometry

Cell lengths 12.7808, 9.2279, 8.6299 Å; angles 90.00, 109.30, 90.00 degrees
Last column: nearest neighbours and their distance in Å.
Space group Cm (No. 8)
Unique sites:
1 Sr 0.0000 0.0000 0.0000 [2 per cell]  2 Li 3.20-3.48, 3 Pd 3.20-3.29
2 Sr 0.0026 0.0000 0.5246 [2 per cell]  2 Li 3.20-3.43, 3 Pd 3.22
3 Sr 0.0221 0.5000 0.0177 [2 per cell]  4 Pd 3.23-3.42
4 Sr 0.0288 0.5000 0.5283 [2 per cell]  4 Pd 3.21-3.28
5 Sr 0.2814 0.2695 0.1512 [4 per cell]  3 Pd 3.10-3.24, 2 Li 3.38-3.42
6 Sr 0.2961 0.2651 0.6626 [4 per cell]  4 Pd 3.15-3.45, 2 Li 3.42
7 Li 0.2048 0.0000 0.8643 [2 per cell]  2 Pd 2.71
8 Li 0.2177 0.0000 0.3704 [2 per cell]  7 Sr 3.38-3.75
9 Pd 0.0818 0.2457 0.8040 [4 per cell]  1 Li 2.71, 1 Pd 2.93
10 Pd 0.2270 0.5000 0.8744 [2 per cell]  2 Pd 2.93, 6 Sr 3.10-3.24
11 Pd 0.2357 0.5000 0.3820 [2 per cell]  7 Sr 3.10-3.42


Record 3
Material: Sr8Li2Pd
Method: DFT, PBE
State: optimized geometry

Cell lengths 25.6358, 4.5605, 8.5931 Å; angles 90.00, 90.85, 90.00 degrees
Last column: nearest neighbours and their distance in Å.
Space group C2/m (No. 12)
Unique sites:
1 Sr 0.0043 0.0000 0.2352 [4 per cell]  2 Pd 3.05
2 Sr 0.1063 0.5000 0.5160 [4 per cell]  2 Li 3.46
3 Sr 0.1175 0.5000 0.9992 [4 per cell]  1 Pd 3.01
4 Sr 0.2298 0.0000 0.7280 [4 per cell]  2 Li 3.49
5 Li 0.1672 0.0000 0.2768 [4 per cell]  6 Sr 3.46-3.52
6 Pd 0.0000 0.5000 0.0000 [2 per cell]  6 Sr 3.01-3.05

Values from the calculation:
* energy relative to the lowest polymorph listed for this composition: 0 meV/atom


Record 4
Material: SrLi12Pd4
Method: DFT, PBE
State: optimized geometry

Cell lengths 8.8813, 8.8813, 8.8813 Å; angles 90.00, 90.00, 90.00 degrees
Last column: nearest neighbours and their distance in Å.
Space group Im-3 (No. 204)
Unique sites:
1 Sr 0.0000 0.0000 0.0000 [2 per cell]  12 Li 3.46, 8 Pd 3.85
2 Li 0.0000 0.1779 0.3471 [24 per cell]  2 Pd 2.47, 1 Li 2.72
3 Pd 0.2500 0.2500 0.2500 [8 per cell]  6 Li 2.47


Record 5
Material: Sr8LiPd2
Method: DFT, PBE
State: optimized geometry

Cell lengths 9.8369, 14.5785, 6.4124 Å; angles 90.00, 102.85, 90.00 degrees
Last column: nearest neighbours and their distance in Å.
Space group Cm (No. 8)
Unique sites:
1 Sr 0.0000 0.0000 0.0000 [2 per cell]  2 Pd 3.35, 1 Li 3.74
2 Sr 0.0854 0.3653 0.7967 [4 per cell]  2 Pd 3.22-3.23
3 Sr 0.1860 0.1348 0.6225 [4 per cell]  2 Pd 3.22-3.23
4 Sr 0.2717 0.5000 0.4196 [2 per cell]  2 Pd 3.35, 1 Li 3.73
5 Sr 0.3857 0.2476 0.2096 [4 per cell]  2 Pd 3.34-3.35, 1 Li 3.61
6 Li 0.3861 0.0000 0.2142 [2 per cell]  4 Sr 3.61-3.74
7 Pd 0.3857 0.3130 0.7095 [4 per cell]  8 Sr 3.22-3.35


Record 6
Material: Sr2LiPd
Method: DFT, PBE
State: optimized geometry

Cell lengths 3.8319, 3.8319, 8.4574 Å; angles 90.00, 90.00, 90.00 degrees
Last column: nearest neighbours and their distance in Å.
Space group P4/mmm (No. 123)
Unique sites:
1 Sr 0.0000 0.0000 0.2127 [2 per cell]  4 Pd 3.25, 1 Sr 3.60, 4 Li 3.64
2 Li 0.5000 0.5000 0.5000 [1 per cell]  8 Sr 3.64, 4 Li 3.83
3 Pd 0.5000 0.5000 0.0000 [1 per cell]  8 Sr 3.25


| no. | total energy (eV per atom) | formation energy (eV/atom) |
| --- | --- | --- |
| 1 | -2.6881 | -0.211 |
| 2 | -3.0819 | -0.364 |
| 3 | -2.1329 | -0.090 |
| 4 | -2.7502 | -0.079 |
| 5 | -2.5614 | -0.220 |
| 6 | -2.8971 | -0.279 |